Record 1
Mg2GaPt5: optimized geometry, PBE.

```
Mg2GaPt5
1.0
5.554 0.000 0.000
0.000 10.928 0.000
0.000 0.000 4.062
Mg Ga Pt
4 2 10
Direct
0.196 0.139 0.000 Mg
0.304 0.639 0.000 Mg
0.696 0.361 0.000 Mg
0.804 0.861 0.000 Mg
0.000 0.500 0.500 Ga
0.500 0.000 0.500 Ga
0.000 0.000 0.500 Pt
0.049 0.743 0.500 Pt
0.205 0.391 0.000 Pt
0.295 0.891 0.000 Pt
0.451 0.243 0.500 Pt
0.500 0.500 0.500 Pt
0.549 0.757 0.500 Pt
0.705 0.109 0.000 Pt
0.795 0.609 0.000 Pt
0.951 0.257 0.500 Pt
```

calculated density = 14.73 g/cm3
ΔE_f = -0.761 eV/atom

---

Record 2
MgGaPt3: optimized geometry, PBE.

```
MgGaPt3
1.0
4.633 0.000 0.000
0.000 4.633 0.000
0.000 0.000 4.633
Mg Ga Pt
1 1 3
Direct
0.000 0.000 0.000 Mg
0.500 0.500 0.500 Ga
0.000 0.000 0.500 Pt
0.000 0.500 0.000 Pt
0.500 0.000 0.000 Pt
```

calculated density = 11.34 g/cm3
ΔE_f = 0.686 eV/atom
energy above the most stable polymorph in this dataset = 1121 meV per atom

---

Record 3
MgGa2Pt: optimized geometry, PBE.

```
MgGa2Pt
1.0
14.439 0.000 0.000
0.000 7.710 0.000
0.000 0.000 5.062
Mg Ga Pt
8 16 8
Direct
0.108 0.250 0.245 Mg
0.140 0.750 0.465 Mg
0.360 0.250 0.965 Mg
0.392 0.750 0.745 Mg
0.608 0.250 0.255 Mg
0.640 0.750 0.035 Mg
0.860 0.250 0.535 Mg
0.892 0.750 0.755 Mg
0.033 0.049 0.737 Ga
0.033 0.451 0.737 Ga
0.212 0.545 0.964 Ga
0.212 0.955 0.964 Ga
0.288 0.045 0.464 Ga
0.288 0.455 0.464 Ga
0.467 0.549 0.237 Ga
0.467 0.951 0.237 Ga
0.533 0.049 0.763 Ga
0.533 0.451 0.763 Ga
0.712 0.545 0.536 Ga
0.712 0.955 0.536 Ga
0.788 0.045 0.036 Ga
0.788 0.455 0.036 Ga
0.967 0.549 0.263 Ga
0.967 0.951 0.263 Ga
0.071 0.750 0.966 Pt
0.182 0.250 0.737 Pt
0.318 0.750 0.237 Pt
0.429 0.250 0.466 Pt
0.571 0.750 0.534 Pt
0.682 0.250 0.763 Pt
0.818 0.750 0.263 Pt
0.929 0.250 0.034 Pt
```

calculated density = 8.46 g/cm3
ΔE_f = -0.586 eV/atom

---

Record 4
MgGaPt4: optimized geometry, PBE.

```
MgGaPt4
1.0
4.178 0.000 0.000
0.000 4.178 0.000
0.000 0.000 5.931
Mg Ga Pt
1 1 4
Direct
0.000 0.000 0.000 Mg
0.500 0.500 0.500 Ga
0.000 0.500 0.256 Pt
0.000 0.500 0.744 Pt
0.500 0.000 0.256 Pt
0.500 0.000 0.744 Pt
```

calculated density = 14.02 g/cm3
ΔE_f = -0.391 eV/atom

---

Record 5
Mg3Ga3Pt2: optimized geometry, PBE.

```
Mg3Ga3Pt2
1.0
7.263 0.000 0.000
0.000 15.552 0.000
0.000 0.000 5.249
Mg Ga Pt
12 12 8
Direct
0.027 0.120 0.096 Mg
0.027 0.380 0.096 Mg
0.169 0.250 0.644 Mg
0.331 0.750 0.144 Mg
0.473 0.620 0.596 Mg
0.473 0.880 0.596 Mg
0.527 0.120 0.404 Mg
0.527 0.380 0.404 Mg
0.669 0.250 0.856 Mg
0.831 0.750 0.356 Mg
0.973 0.620 0.904 Mg
0.973 0.880 0.904 Mg
0.172 0.750 0.656 Ga
0.183 0.032 0.598 Ga
0.183 0.468 0.598 Ga
0.317 0.532 0.098 Ga
0.317 0.968 0.098 Ga
0.328 0.250 0.156 Ga
0.672 0.750 0.844 Ga
0.683 0.032 0.902 Ga
0.683 0.468 0.902 Ga
0.817 0.532 0.402 Ga
0.817 0.968 0.402 Ga
0.828 0.250 0.344 Ga
0.117 0.616 0.401 Pt
0.117 0.884 0.401 Pt
0.383 0.116 0.901 Pt
0.383 0.384 0.901 Pt
0.617 0.616 0.099 Pt
0.617 0.884 0.099 Pt
0.883 0.116 0.599 Pt
0.883 0.384 0.599 Pt
```

calculated density = 7.53 g/cm3
ΔE_f = -0.590 eV/atom
energy above the most stable polymorph in this dataset = 0 meV per atom

---

Record 6
Mg3GaPt2: optimized geometry, PBE.

```
Mg3GaPt2
1.0
7.630 -2.776 0.000
7.630 2.776 0.000
-2.003 0.000 5.177
Mg Ga Pt
6 2 4
Direct
0.000 0.000 0.250 Mg
0.000 0.000 0.750 Mg
0.029 0.601 0.816 Mg
0.399 0.971 0.684 Mg
0.601 0.029 0.316 Mg
0.971 0.399 0.184 Mg
0.499 0.501 0.750 Ga
0.501 0.499 0.250 Ga
0.152 0.602 0.377 Pt
0.398 0.848 0.123 Pt
0.602 0.152 0.877 Pt
0.848 0.398 0.623 Pt
```

calculated density = 8.07 g/cm3
ΔE_f = -0.657 eV/atom
energy above the most stable polymorph in this dataset = 0 meV per atom

---

Record 7
MgGaPt6: optimized geometry, PBE.

```
MgGaPt6
1.0
3.955 0.000 0.000
0.000 3.955 0.000
0.000 0.000 7.896
Mg Ga Pt
1 1 6
Direct
0.000 0.000 0.000 Mg
0.000 0.000 0.500 Ga
0.000 0.500 0.253 Pt
0.000 0.500 0.747 Pt
0.500 0.000 0.253 Pt
0.500 0.000 0.747 Pt
0.500 0.500 0.000 Pt
0.500 0.500 0.500 Pt
```

calculated density = 17.00 g/cm3
ΔE_f = -0.529 eV/atom

---

Record 8
MgGa3Pt: optimized geometry, PBE.

```
MgGa3Pt
1.0
6.926 0.000 0.000
0.000 5.605 0.000
-0.359 0.000 9.636
Mg Ga Pt
4 12 4
Direct
0.169 0.094 0.292 Mg
0.169 0.406 0.792 Mg
0.831 0.594 0.208 Mg
0.831 0.906 0.708 Mg
0.192 0.641 0.068 Ga
0.192 0.859 0.568 Ga
0.201 0.597 0.343 Ga
0.201 0.903 0.843 Ga
0.400 0.226 0.047 Ga
0.400 0.274 0.547 Ga
0.600 0.726 0.453 Ga
0.600 0.774 0.953 Ga
0.799 0.097 0.157 Ga
0.799 0.403 0.657 Ga
0.808 0.141 0.432 Ga
0.808 0.359 0.932 Ga
0.483 0.653 0.701 Pt
0.483 0.847 0.201 Pt
0.517 0.153 0.799 Pt
0.517 0.347 0.299 Pt
```

calculated density = 7.61 g/cm3
ΔE_f = -0.340 eV/atom
energy above the most stable polymorph in this dataset = 48 meV per atom

---

Record 9
MgGa2Pt4: optimized geometry, PBE.

```
MgGa2Pt4
1.0
-2.320 2.320 6.333
2.320 -2.320 6.333
2.320 2.320 -6.333
Mg Ga Pt
1 2 4
Direct
0.000 0.000 0.000 Mg
0.392 0.392 0.000 Ga
0.608 0.608 0.000 Ga
0.000 0.500 0.500 Pt
0.205 0.205 0.000 Pt
0.500 0.000 0.500 Pt
0.795 0.795 0.000 Pt
```

calculated density = 11.50 g/cm3
ΔE_f = 0.280 eV/atom
energy above the most stable polymorph in this dataset = 897 meV per atom

---

Record 10
MgGa2Pt: optimized geometry, PBE.

```
MgGa2Pt
1.0
-1.976 1.976 9.267
1.976 -1.976 9.267
1.976 1.976 -9.267
Mg Ga Pt
2 4 2
Direct
0.000 0.000 0.000 Mg
0.750 0.250 0.500 Mg
0.139 0.625 0.014 Ga
0.375 0.389 0.514 Ga
0.611 0.125 0.986 Ga
0.875 0.861 0.486 Ga
0.250 0.750 0.500 Pt
0.500 0.500 0.000 Pt
```

calculated density = 8.23 g/cm3
ΔE_f = -0.314 eV/atom

---

Record 11
Mg8GaPt2: optimized geometry, PBE.

```
Mg8GaPt2
1.0
7.660 -2.272 0.000
7.660 2.272 0.000
-2.664 0.000 6.118
Mg Ga Pt
8 1 2
Direct
0.023 0.023 0.252 Mg
0.188 0.188 0.770 Mg
0.328 0.328 0.568 Mg
0.389 0.389 0.052 Mg
0.611 0.611 0.948 Mg
0.672 0.672 0.432 Mg
0.812 0.812 0.230 Mg
0.977 0.977 0.748 Mg
0.500 0.500 0.500 Ga
0.181 0.181 0.171 Pt
0.819 0.819 0.829 Pt
```

calculated density = 5.10 g/cm3
ΔE_f = -0.454 eV/atom

---

Record 12
Mg7GaPt4: optimized geometry, PBE.

```
Mg7GaPt4
1.0
6.443 -2.405 0.000
6.443 2.405 0.000
-5.635 0.000 7.436
Mg Ga Pt
7 1 4
Direct
0.000 0.000 0.000 Mg
0.179 0.179 0.620 Mg
0.281 0.281 0.131 Mg
0.433 0.433 0.647 Mg
0.567 0.567 0.353 Mg
0.719 0.719 0.869 Mg
0.821 0.821 0.380 Mg
0.500 0.500 0.000 Ga
0.068 0.068 0.779 Pt
0.197 0.197 0.346 Pt
0.803 0.803 0.654 Pt
0.932 0.932 0.221 Pt
```

calculated density = 7.35 g/cm3
ΔE_f = -0.498 eV/atom